No. 1
Density functional theory data (GGA-PBEsol) for a geometry-optimized TiAl2Ni2 structure.

Unit cell a=3.6080 b=3.6080 c=5.9224 alpha=107.73 beta=107.73 gamma=90.00
Positions (direct):
Ni1 0.3960 0.3960 0.7921
Ni2 0.6040 0.6040 0.2079
Al1 0.2500 0.7500 0.5000
Al2 0.7500 0.2500 0.5000
Ti1 0.0000 0.0000 0.0000

Output
The value obtained for the final energy is -30.19 eV for the cell shown. The value obtained for the energy of formation from the pure elements is -275 meV per atom. Its space-group type is I4/mmm (139).

---

No. 2
Density functional theory data (GGA-PBEsol) for a geometry-optimized Ti3AlNi structure.

Unit cell a=4.5796 b=4.5796 c=4.5796 alpha=90.00 beta=90.00 gamma=90.00
Positions (direct):
Ni1 0.5000 0.5000 0.5000
Al1 0.0000 0.0000 0.0000
Ti1 0.0000 0.5000 0.0000
Ti2 0.0000 0.0000 0.5000
Ti3 0.5000 0.0000 0.0000

Output
The value obtained for the final energy is -29.39 eV for the cell shown. The value obtained for the energy of formation from the pure elements is 1166 meV per atom. Its space-group type is Pm-3m (221).

---

No. 3
Density functional theory data (GGA-PBEsol) for a geometry-optimized Ti6Al16Ni7 structure.

Unit cell a=8.2803 b=8.2803 c=8.2803 alpha=60.00 beta=60.00 gamma=60.00
Positions (direct):
Ti1 0.1817 0.8183 0.8183
Ti2 0.8183 0.1817 0.1817
Ti3 0.1817 0.8183 0.1817
Ti4 0.1817 0.1817 0.8183
Ti5 0.8183 0.1817 0.8183
Ti6 0.8183 0.8183 0.1817
Al1 0.4861 0.8380 0.8380
Al2 0.8380 0.4861 0.8380
Al3 0.8380 0.8380 0.8380
Al4 0.8380 0.8380 0.4861
Al5 0.5139 0.1620 0.1620
Al6 0.1620 0.5139 0.1620
Al7 0.1620 0.1620 0.5139
Al8 0.1620 0.1620 0.1620
Al9 0.1430 0.6190 0.6190
Al10 0.6190 0.1430 0.6190
Al11 0.6190 0.6190 0.6190
Al12 0.6190 0.6190 0.1430
Al13 0.8570 0.3810 0.3810
Al14 0.3810 0.8570 0.3810
Al15 0.3810 0.3810 0.8570
Al16 0.3810 0.3810 0.3810
Ni1 0.0000 0.5000 0.5000
Ni2 0.5000 0.0000 0.0000
Ni3 0.0000 0.5000 0.0000
Ni4 0.0000 0.0000 0.5000
Ni5 0.5000 0.0000 0.5000
Ni6 0.5000 0.5000 0.0000
Ni7 0.5000 0.5000 0.5000

Output
The value obtained for the final energy is -175.01 eV for the cell shown. The value obtained for the energy of formation from the pure elements is -569 meV per atom. Its space-group type is Fm-3m (225).

---

No. 4
Density functional theory data (GGA-PBEsol) for a geometry-optimized TiAlNi6 structure.

Unit cell a=3.5489 b=3.5489 c=7.0084 alpha=90.00 beta=90.00 gamma=90.00
Positions (direct):
Ti1 0.0000 0.0000 0.5000
Al1 0.0000 0.0000 0.0000
Ni1 0.5000 0.5000 0.0000
Ni2 0.5000 0.5000 0.5000
Ni3 0.5000 0.0000 0.2475
Ni4 0.5000 0.0000 0.7525
Ni5 0.0000 0.5000 0.2475
Ni6 0.0000 0.5000 0.7525

Output
The value obtained for the final energy is -53.30 eV for the cell shown. The value obtained for the energy of formation from the pure elements is -493 meV per atom. Its space-group type is P4/mmm (123).

---

No. 5
Density functional theory data (GGA-PBEsol) for a geometry-optimized TiAl3Ni structure.

Unit cell a=4.7862 b=4.7862 c=4.7862 alpha=90.00 beta=90.00 gamma=90.00
Positions (direct):
Ni1 0.5000 0.5000 0.5000
Al1 0.0000 0.5000 0.0000
Al2 0.0000 0.0000 0.5000
Al3 0.5000 0.0000 0.0000
Ti1 0.0000 0.0000 0.0000

Output
The value obtained for the final energy is -20.21 eV for the cell shown. The value obtained for the energy of formation from the pure elements is 1310 meV per atom. Its space-group type is Pm-3m (221).

---

No. 6
Density functional theory data (GGA-PBEsol) for a geometry-optimized Ti2AlNi2 structure.

Unit cell a=3.0132 b=6.7140 c=6.7140 alpha=90.00 beta=90.00 gamma=90.00
Positions (direct):
Ni1 0.0000 0.3717 0.8717
Ni2 0.0000 0.8717 0.6283
Ni3 0.0000 0.6283 0.1283
Ni4 0.0000 0.1283 0.3717
Al1 0.0000 0.0000 0.0000
Al2 0.0000 0.5000 0.5000
Ti1 0.5000 0.1696 0.6696
Ti2 0.5000 0.6696 0.8304
Ti3 0.5000 0.8304 0.3304
Ti4 0.5000 0.3304 0.1696

Output
The value obtained for the final energy is -71.31 eV for the cell shown. The value obtained for the energy of formation from the pure elements is -521 meV per atom. Its space-group type is P4/mbm (127).

---

No. 7
Density functional theory data (GGA-PBEsol) for a geometry-optimized AlTlNi structure.

Unit cell a=3.5748 b=4.1122 c=4.1122 alpha=120.00 beta=90.00 gamma=90.00
Positions (direct):
Ni1 0.0000 0.6667 0.3333
Tl1 0.5000 0.3333 0.6667
Al1 0.0000 0.0000 0.0000

Output
The value obtained for the final energy is -12.39 eV for the cell shown. The value obtained for the energy of formation from the pure elements is 163 meV per atom. Its space-group type is P-6m2 (187).

---

No. 8
Density functional theory data (GGA-PBEsol) for a geometry-optimized Al3TlNi structure.

Unit cell a=5.0746 b=5.0746 c=5.0746 alpha=90.00 beta=90.00 gamma=90.00
Positions (direct):
Ni1 0.5000 0.5000 0.5000
Tl1 0.0000 0.0000 0.0000
Al1 0.0000 0.5000 0.0000
Al2 0.0000 0.0000 0.5000
Al3 0.5000 0.0000 0.0000

Output
The value obtained for the final energy is -13.87 eV for the cell shown. The value obtained for the energy of formation from the pure elements is 1439 meV per atom. Its space-group type is Pm-3m (221).

---

- Look up the final energy of the fourth one.
  -53.30 eV for the cell shown

---

- energy of formation from the pure elements of number 5 (TiAl3Ni)?
  1310 meV per atom

---

- Which formula does entry 2 have?
  Ti3AlNi

---

- Which of these has the highest energy of formation from the pure elements?
  Al3TlNi